1.
The following is a PBE calculation of Nd4SmEr3 after structural relaxation, from the Alexandria database.

Properties
Its space group is Pmna, No. 53. The calculation puts the energy above the lowest structure with this stoichiometry at 0 meV/atom. The total energy comes out at -4.6666 eV/atom. The spin magnetization is 0.00 μB/atom. As for the density of states at the Fermi level: 11.7 states/eV/f.u.

Structure (extended XYZ):
```
16
Lattice="7.2065 0.0000 0.0000 0.0000 7.2072 0.0000 0.0000 0.0000 10.2243" Properties=species:S:1:pos:R:3 pbc="T T T"
Nd 7.2057 5.8429 0.0000
Nd 3.6038 2.2377 0.0000
Nd 5.4149 0.4369 2.5585
Nd 1.7915 4.0405 7.6707
Nd 5.4149 0.4369 7.6658
Nd 3.6027 5.8413 5.1122
Nd 0.0008 2.2393 5.1122
Nd 1.7915 4.0405 2.5536
Sm 3.6026 5.8423 0.0000
Sm 3.6039 2.2387 5.1122
Er 5.4179 4.0402 2.5559
Er 7.2059 2.2379 0.0000
Er 1.7886 0.4366 7.6681
Er 5.4179 4.0402 7.6684
Er 1.7886 0.4366 2.5562
Er 0.0006 5.8415 5.1122
```

=====

2.
The following is a PBE calculation of SrOsPb2 after structural relaxation, from the Alexandria database.

Properties
Its space group is Immm, No. 71. The total energy comes out at -4.7961 eV/atom. The spin magnetization is 0.00 μB/atom. As for the density of states at the Fermi level: 1.8 states/eV/f.u.

Structure (extended XYZ):
```
4
Lattice="-2.8423 5.4740 -1.3819 -3.4659 2.4960 4.6595 5.6947 -1.7952 -2.0738" Properties=species:S:1:pos:R:3 pbc="T T T"
Pb -0.2889 0.3650 0.1501
Pb -2.8652 3.6200 1.4887
Sr -0.1509 3.8319 -0.9084
Os -0.4627 2.3429 2.1122
```

=====

3.
The following is a PBE calculation of CaCd2Pt after structural relaxation, from the Alexandria database.

Properties
Its space group is Pmmm, No. 47. The total energy comes out at -2.8741 eV/atom. The spin magnetization is 0.00 μB/atom. As for the density of states at the Fermi level: 1.7 states/eV/f.u.

Structure (extended XYZ):
```
4
Lattice="4.2219 0.0000 0.0000 0.0000 4.2523 0.0000 0.0000 0.0000 4.8091" Properties=species:S:1:pos:R:3 pbc="T T T"
Pt 2.1109 0.0000 2.4046
Cd 0.0000 0.0000 0.0000
Cd 2.1109 2.1262 0.0000
Ca 0.0000 2.1262 2.4046
```

=====

4.
The following is a PBE calculation of LaY2BeBi after structural relaxation, from the Alexandria database.

Properties
Its space group is P4/mmm, No. 123. The total energy comes out at -4.3984 eV/atom. The spin magnetization is 0.00 μB/atom. As for the density of states at the Fermi level: 8.9 states/eV/f.u.

Structure (extended XYZ):
```
5
Lattice="5.7467 0.0000 0.0000 0.0000 5.7467 0.0000 0.0000 0.0000 6.0806" Properties=species:S:1:pos:R:3 pbc="T T T"
Y 2.8733 0.0000 0.0000
Y 0.0000 2.8733 0.0000
La 0.0000 0.0000 3.0403
Bi 0.0000 0.0000 0.0000
Be 2.8733 2.8733 3.0403
```